Record 1
Compound: Ti2In2Pd7
Source: the Alexandria database
Functional: PBE
Structure: optimized geometry

abc: 6.600 4.657 6.600
angles: 97.16 103.94 82.84
Fractional coordinates of all 11 atoms:
Pd 0.613 0.230 0.033
Pd 0.434 0.778 0.566
Pd 0.566 0.222 0.434
Pd 0.387 0.770 0.967
Pd 0.000 0.000 0.000
Pd 0.033 0.770 0.613
Pd 0.967 0.230 0.387
In 0.206 0.500 0.206
In 0.794 0.500 0.794
Ti 0.295 0.298 0.705
Ti 0.705 0.702 0.295

Crystal system: monoclinic
Formation energy in eV/atom: -0.3450

Record 2
Compound: TiInPd
Source: the Alexandria database
Functional: PBE
Structure: optimized geometry

abc: 2.894 4.614 4.614
angles: 120.00 90.00 90.00
Fractional coordinates of all 3 atoms:
Ti 0.666 0.333 0.667
Pd 0.170 0.667 0.333
In 0.164 0.000 0.000

Crystal system: trigonal
Formation energy in eV/atom: -0.3272